# 1
First-principles (PBE) data for a geometry-optimized Sc2CdSe2 structure, as listed in the Alexandria database.

## Properties
E in eV per atom: -5.088
Polymorph energy (0 for the lowest one) in meV per atom: 2
DOS at the Fermi energy in states/eV/cell: 9.6
E_form (uncorrected) in eV per atom: -0.98

Cell lengths 7.730, 7.730, 3.543 Å; angles 90.00, 90.00, 90.00 degrees
Fractional positions:
Sc1 0.146 0.354 0.000
Sc2 0.354 0.854 0.000
Sc3 0.646 0.146 0.000
Sc4 0.854 0.646 0.000
Cd1 0.000 0.000 0.000
Cd2 0.500 0.500 0.000
Se1 0.148 0.648 0.500
Se2 0.352 0.148 0.500
Se3 0.648 0.852 0.500
Se4 0.852 0.352 0.500

# 2
First-principles (PBE) data for a geometry-optimized CsOsSe2Br structure, as listed in the Alexandria database.

## Properties
E in eV per atom: -2.200
Polymorph energy (0 for the lowest one) in meV per atom: 2115
DOS at the Fermi energy in states/eV/cell: 5.9
E_form (uncorrected) in eV per atom: 1.94

Cell lengths 5.759, 5.759, 6.477 Å; angles 90.00, 90.00, 90.00 degrees
Fractional positions:
Cs1 0.000 0.000 0.000
Os1 0.500 0.500 0.500
Se1 0.000 0.500 0.000
Se2 0.500 0.000 0.000
Br1 0.000 0.000 0.500

# 3
First-principles (PBE) data for a geometry-optimized Lu2ScSb structure, as listed in the Alexandria database.

## Properties
E in eV per atom: -5.287
Polymorph energy (0 for the lowest one) in meV per atom: 54
DOS at the Fermi energy in states/eV/cell: 5.1
E_form (uncorrected) in eV per atom: -0.41

Cell lengths 4.676, 4.676, 4.565 Å; angles 90.00, 90.00, 90.00 degrees
Fractional positions:
Lu1 0.000 0.500 0.000
Lu2 0.500 0.000 0.000
Sc1 0.000 0.000 0.500
Sb1 0.500 0.500 0.500